No. 1
First-principles (GGA-PBE) data for a relaxed structure of NiAuSe2, as listed in Alexandria.

**Space-group type**: I4_1/amd, No. 141
**Formation energy from raw total energies**: -0.04 eV per atom

a b c (Å): 6.6997 6.6997 6.6997
angles (deg): 134.47 134.47 66.36
Atoms (fractional coordinates):
Ni 0.3750 0.6250 0.7500
Ni 0.6250 0.3750 0.2500
Au 0.1250 0.8750 0.2500
Au 0.8750 0.1250 0.7500
Se 0.1625 0.4125 0.7500
Se 0.4125 0.1625 0.2500
Se 0.5875 0.8375 0.7500
Se 0.8375 0.5875 0.2500

=====

No. 2
First-principles (GGA-PBE) data for a relaxed structure of NiAuSe2, as listed in Alexandria.

**Space-group type**: P4/mmm, No. 123
**Formation energy from raw total energies**: 0.25 eV per atom

a b c (Å): 2.8796 2.8796 8.7087
angles (deg): 90.00 90.00 90.00
Atoms (fractional coordinates):
Ni 0.0000 0.0000 0.0000
Au 0.0000 0.0000 0.5000
Se 0.5000 0.5000 0.1885
Se 0.5000 0.5000 0.8115

=====

No. 3
First-principles (GGA-PBE) data for a relaxed structure of NiAuSe2, as listed in Alexandria.

**Space-group type**: Cm, No. 8
**Formation energy from raw total energies**: -0.03 eV per atom

a b c (Å): 5.5105 5.5105 6.0559
angles (deg): 96.41 96.41 30.50
Atoms (fractional coordinates):
Ni 0.0000 0.0000 0.0000
Au 0.7338 0.7338 0.9832
Se 0.3903 0.3903 0.7390
Se 0.5824 0.5824 0.2866

=====

Q: Which volume values were calculated for the entries above? A: 150.77, 72.21, 92.71, in Å³ per cell.